# OsCCl2

A relaxed OsCCl2 crystal (PBE-GGA, Alexandria via LeMat-Bulk).

Unit cell a=2.9879 b=2.9879 c=23.2121 alpha=90.00 beta=90.00 gamma=120.00
Space group R-3m (No. 166, hexagonal axes)
Inequivalent atoms, fractional coordinates:
Os (0.0000, 0.0000, 0.0000) [3 per cell]
C (0.0000, 0.0000, 0.5000) [3 per cell]
Cl (0.0000, 0.0000, 0.0976) [6 per cell]

Computed properties:
**Uncorrected energy**: -50.52 eV for the cell shown
**Magnetization**: 0.00 μB/f.u.
**Uncorrected formation energy**: 7.31 eV/f.u.

***

# BiN2F2

A relaxed BiN2F2 crystal (PBE-GGA, Alexandria via LeMat-Bulk).

Unit cell a=2.8224 b=2.8224 c=19.1953 alpha=90.00 beta=90.00 gamma=90.00
Space group I4/mmm (No. 139)
Inequivalent atoms, fractional coordinates:
Bi (0.0000, 0.0000, 0.0000) [2 per cell]
N (0.0000, 0.5000, 0.2500) [4 per cell]
F (0.0000, 0.0000, 0.4167) [4 per cell]

Computed properties:
**Uncorrected energy**: -40.32 eV for the cell shown
**Magnetization**: 1.02 μB/f.u.
**Uncorrected formation energy**: 4.11 eV/f.u.

***

# NiHgTe

A relaxed NiHgTe crystal (PBE-GGA, Alexandria via LeMat-Bulk).

Unit cell a=6.3621 b=6.3621 c=6.3621 alpha=90.00 beta=90.00 gamma=90.00
Space group F-43m (No. 216)
Inequivalent atoms, fractional coordinates:
Ni (0.0000, 0.0000, 0.0000) [4 per cell]
Hg (0.2500, 0.2500, 0.2500) [4 per cell]
Te (0.2500, 0.2500, 0.7500) [4 per cell]

Computed properties:
**Uncorrected energy**: -36.29 eV for the cell shown
**Magnetization**: 0.00 μB/f.u.
**Uncorrected formation energy**: 0.15 eV/f.u.

***

# B5C3

A relaxed B5C3 crystal (PBE-GGA, Alexandria via LeMat-Bulk).

Unit cell a=2.5395 b=2.5395 c=29.7234 alpha=90.00 beta=90.00 gamma=120.00
Space group R3m (No. 160, hexagonal axes)
Inequivalent atoms, fractional coordinates:
B (0.0000, 0.0000, 0.0000) [3 per cell]
B (0.0000, 0.0000, 0.0561) [3 per cell]
B (0.0000, 0.0000, 0.2388) [3 per cell]
B (0.0000, 0.0000, 0.2957) [3 per cell]
B (0.0000, 0.0000, 0.7588) [3 per cell]
C (0.0000, 0.0000, 0.4970) [3 per cell]
C (0.0000, 0.0000, 0.5473) [3 per cell]
C (0.0000, 0.0000, 0.8120) [3 per cell]

Computed properties:
**Calculated formation energy**: 0.543 eV/atom
**Uncorrected energy**: -170.15 eV for the cell shown
**Magnetization**: 0.17 μB/f.u.

***

# La3Pr7Sc

A relaxed La3Pr7Sc crystal (PBE-GGA, Alexandria via LeMat-Bulk).

Unit cell a=13.0333 b=11.5402 c=5.9643 alpha=90.00 beta=117.13 gamma=90.00
Space group C2/m (No. 12)
Inequivalent atoms, fractional coordinates:
La (0.0000, 0.0000, 0.0000) [2 per cell]
La (0.0000, 0.2097, 0.5000) [4 per cell]
Pr (0.0000, 0.5000, 0.5000) [2 per cell]
Pr (0.1924, 0.2093, 0.1929) [8 per cell]
Pr (0.2162, 0.0000, 0.7174) [4 per cell]
Sc (0.0000, 0.5000, 0.0000) [2 per cell]

Computed properties:
**Calculated formation energy**: 0.222 eV/atom
**Uncorrected energy**: -104.25 eV for the cell shown
**Magnetization**: 0.03 μB/f.u.

***

# PaAsPd3

A relaxed PaAsPd3 crystal (PBE-GGA, Alexandria via LeMat-Bulk).

Unit cell a=4.5679 b=6.3802 c=6.2617 alpha=90.00 beta=90.00 gamma=90.00
Space group Pmmn (No. 59, origin choice 2)
Inequivalent atoms, fractional coordinates:
Pa (0.2500, 0.2500, 0.2311) [2 per cell]
As (0.2500, 0.7500, 0.4567) [2 per cell]
Pd (0.2500, 0.0410, 0.7413) [4 per cell]
Pd (0.2500, 0.7500, 0.0690) [2 per cell]

Computed properties:
**Calculated formation energy**: -0.628 eV/atom
**Uncorrected energy**: -65.73 eV for the cell shown
**Magnetization**: 0.00 μB/f.u.

***

# ZnIr2Os

A relaxed ZnIr2Os crystal (PBE-GGA, Alexandria via LeMat-Bulk).

Unit cell a=2.7642 b=3.8068 c=5.4444 alpha=90.00 beta=90.00 gamma=90.00
Space group Pmmm (No. 47)
Inequivalent atoms, fractional coordinates:
Zn (0.0000, 0.0000, 0.0000) [1 per cell]
Ir (0.5000, 0.5000, 0.2515) [2 per cell]
Os (0.0000, 0.0000, 0.5000) [1 per cell]

Computed properties:
**Calculated formation energy**: 0.015 eV/atom
**Uncorrected energy**: -30.16 eV for the cell shown
**Magnetization**: 0.00 μB/f.u.

***

# VZnRh3

A relaxed VZnRh3 crystal (PBE-GGA, Alexandria via LeMat-Bulk).

Unit cell a=4.4818 b=4.4818 c=4.4818 alpha=90.00 beta=90.00 gamma=90.00
Space group Pm-3m (No. 221)
Inequivalent atoms, fractional coordinates:
V (0.0000, 0.0000, 0.0000) [1 per cell]
Zn (0.5000, 0.5000, 0.5000) [1 per cell]
Rh (0.0000, 0.5000, 0.5000) [3 per cell]

Computed properties:
**Calculated formation energy**: 0.991 eV/atom
**Uncorrected energy**: -27.49 eV for the cell shown
**Magnetization**: 0.39 μB/f.u.

***

# Ho2MgMn

A relaxed Ho2MgMn crystal (PBE-GGA, Alexandria via LeMat-Bulk).

Unit cell a=3.4888 b=3.4888 c=8.0341 alpha=90.00 beta=90.00 gamma=90.00
Space group P4/mmm (No. 123)
Inequivalent atoms, fractional coordinates:
Ho (0.0000, 0.0000, 0.2149) [2 per cell]
Mg (0.5000, 0.5000, 0.5000) [1 per cell]
Mn (0.5000, 0.5000, 0.0000) [1 per cell]

Computed properties:
**Calculated formation energy**: 0.030 eV/atom
**Uncorrected energy**: -19.80 eV for the cell shown
**Magnetization**: 2.87 μB/f.u.

***

# Ba2FePb

A relaxed Ba2FePb crystal (PBE-GGA, Alexandria via LeMat-Bulk).

Unit cell a=4.2525 b=4.2525 c=29.5803 alpha=90.00 beta=90.00 gamma=120.00
Space group R-3m (No. 166, hexagonal axes)
Inequivalent atoms, fractional coordinates:
Ba (0.0000, 0.0000, 0.2405) [6 per cell]
Fe (0.0000, 0.0000, 0.5000) [3 per cell]
Pb (0.0000, 0.0000, 0.0000) [3 per cell]

Computed properties:
**Calculated formation energy**: 0.399 eV/atom
**Uncorrected energy**: -43.27 eV for the cell shown
**Magnetization**: 2.18 μB/f.u.

***

# Rb3GeTe3

A relaxed Rb3GeTe3 crystal (PBE-GGA, Alexandria via LeMat-Bulk).

Unit cell a=11.3058 b=19.4864 c=7.3425 alpha=90.00 beta=90.00 gamma=90.00
Space group Cmcm (No. 63)
Inequivalent atoms, fractional coordinates:
Rb (0.0000, 0.1786, 0.2500) [4 per cell]
Rb (0.2305, 0.4108, 0.2500) [8 per cell]
Ge (0.0000, 0.3325, 0.7500) [4 per cell]
Te (0.0000, 0.1961, 0.7500) [4 per cell]
Te (0.2033, 0.4009, 0.7500) [8 per cell]

Computed properties:
**Uncorrected energy**: -83.96 eV for the cell shown
**Magnetization**: 0.00 μB/f.u.
**Uncorrected formation energy**: -4.04 eV/f.u.